1.
DFT (PBE) results for a geometry-optimized Ga2SnGe structure.

abc: 3.425 3.425 7.224
angles: 90.00 90.00 90.00
Element x y z (fractional)
Ga (0.000, 0.000, 0.214)
Ga (0.000, 0.000, 0.786)
Sn (0.500, 0.500, 0.500)
Ge (0.500, 0.500, 0.000)

---

2.
DFT (PBE) results for a geometry-optimized AcHRu structure.

abc: 3.528 3.734 8.644
angles: 90.00 97.49 90.00
Element x y z (fractional)
Ac (0.200, 0.250, 0.290)
Ac (0.800, 0.750, 0.710)
H (0.263, 0.250, 0.600)
H (0.737, 0.750, 0.400)
Ru (0.286, 0.250, 0.959)
Ru (0.714, 0.750, 0.041)

---

3.
DFT (PBE) results for a geometry-optimized InRe2W structure.

abc: 5.969 5.969 5.969
angles: 101.80 101.80 126.23
Element x y z (fractional)
In (0.000, 0.000, 0.000)
In (0.750, 0.250, 0.500)
Re (0.177, 0.625, 0.052)
Re (0.375, 0.427, 0.552)
Re (0.573, 0.125, 0.948)
Re (0.875, 0.823, 0.448)
W (0.250, 0.750, 0.500)
W (0.500, 0.500, 0.000)

---

4.
DFT (PBE) results for a geometry-optimized Rb2SeO5 structure.

Formation energy from raw total energies = -0.837 eV/atom

abc: 6.272 6.272 6.272
angles: 119.08 119.08 91.59
Element x y z (fractional)
Rb (0.000, 0.500, 0.500)
Rb (0.500, 0.000, 0.500)
Se (0.221, 0.221, 0.000)
O (0.029, 0.029, 0.000)
O (0.085, 0.085, 0.621)
O (0.085, 0.465, 0.000)
O (0.465, 0.085, 0.000)
O (0.465, 0.465, 0.379)

---

5.
DFT (PBE) results for a geometry-optimized NaBi2S4 structure.

Formation energy from raw total energies = -0.406 eV/atom

abc: 6.912 6.912 13.569
angles: 90.00 90.00 146.50
Element x y z (fractional)
Na (0.102, 0.898, 0.750)
Na (0.898, 0.102, 0.250)
Bi (0.364, 0.636, 0.574)
Bi (0.364, 0.636, 0.926)
Bi (0.636, 0.364, 0.074)
Bi (0.636, 0.364, 0.426)
S (0.000, 0.000, 0.000)
S (0.000, 0.000, 0.500)
S (0.272, 0.728, 0.119)
S (0.272, 0.728, 0.381)
S (0.452, 0.548, 0.750)
S (0.548, 0.452, 0.250)
S (0.728, 0.272, 0.619)
S (0.728, 0.272, 0.881)

---

6.
DFT (PBE) results for a geometry-optimized K2PdPbF6 structure.

Formation energy from raw total energies = -2.175 eV/atom

abc: 6.273 6.460 10.854
angles: 90.00 124.53 90.00
Element x y z (fractional)
K (0.234, 0.050, 0.249)
K (0.234, 0.450, 0.749)
K (0.766, 0.550, 0.251)
K (0.766, 0.950, 0.751)
Pd (0.000, 0.000, 0.500)
Pd (0.000, 0.500, 0.000)
Pb (0.500, 0.000, 0.000)
Pb (0.500, 0.500, 0.500)
F (0.137, 0.218, 0.946)
F (0.137, 0.282, 0.446)
F (0.232, 0.696, 0.949)
F (0.232, 0.804, 0.449)
F (0.335, 0.038, 0.736)
F (0.335, 0.462, 0.236)
F (0.665, 0.538, 0.764)
F (0.665, 0.962, 0.264)
F (0.768, 0.196, 0.551)
F (0.768, 0.304, 0.051)
F (0.863, 0.718, 0.554)
F (0.863, 0.782, 0.054)

---

Values for electronic total energy, eV per atom, ordered as above
-3.5694; -5.5825; -9.0712; -4.6138; -4.0620; -4.4076
Values for spin magnetization, μB per formula unit, ordered as above
0.00; 0.00; 0.00; 2.06; 0.00; 2.00